# 1
Compound: Rb2LiPrBr6
Source: the Alexandria database
Functional: PBE-GGA
Structure: relaxed

Structure (POSCAR):
```
Rb2LiPrBr6
1.0
-4.7408 0.0531 -6.2816
3.8399 -6.4463 -2.9525
-7.1875 -6.7071 5.2963
Br Rb Li Pr
12 4 2 2
direct
0.7043 0.2871 0.9635
0.9313 0.5117 0.2569
0.2957 0.7129 0.0365
0.2118 0.2061 0.0345
0.2882 0.7061 0.4655
0.7957 0.7871 0.5365
0.0687 0.4883 0.7431
0.5687 0.0117 0.2431
0.2043 0.2129 0.4635
0.4313 0.9883 0.7569
0.7882 0.7939 0.9655
0.7118 0.2939 0.5345
0.9858 0.0527 0.7487
0.0142 0.9473 0.2513
0.4858 0.4473 0.2487
0.5142 0.5527 0.7513
0.0000 0.5000 0.5000
0.5000 0.0000 0.0000
0.0000 0.5000 0.0000
0.5000 0.0000 0.5000
```

## Properties
Its energy relative to the elements, uncorrected is -1.775 eV/atom.

# 2
Compound: Pr2Y3Er9
Source: the Alexandria database
Functional: PBE-GGA
Structure: relaxed

Structure (POSCAR):
```
Pr2Y3Er9
1.0
-4.7058 -0.9896 -2.4331
-5.7416 -8.8830 0.0555
-12.4668 -4.4681 6.9641
Er Y Pr
9 3 2
direct
0.7182 0.5069 0.8638
0.2817 0.4931 0.1362
0.0001 0.5000 0.5000
0.0388 0.7741 0.5116
0.9611 0.2261 0.4883
0.8327 0.7524 0.9335
0.5837 0.0060 0.3004
0.4163 0.9941 0.6995
0.1674 0.2473 0.0666
0.3052 0.7397 0.6651
0.0001 0.9999 0.0001
0.6947 0.2605 0.3349
0.5060 0.7383 0.2415
0.4940 0.2617 0.7584
```

## Properties
As for the formation energy: 2.5 eV/f.u.

# 3
Compound: PrSmHoCd
Source: the Alexandria database
Functional: PBE-GGA
Structure: relaxed

Structure (POSCAR):
```
PrSmHoCd
1.0
-1.7703 3.2082 0.2477
-2.6406 -1.6100 1.9806
4.5336 1.9149 7.6011
Sm Ho Pr Cd
1 1 1 1
direct
0.5000 0.5000 0.7931
0.5000 0.5000 0.3519
0.0000 0.0000 0.0764
0.0000 0.0000 0.5634
```

## Properties
As for the formation energy: -0.6 eV/f.u.

# 4
Compound: Ta4V3Os
Source: the Alexandria database
Functional: PBE-GGA
Structure: relaxed

Structure (POSCAR):
```
Ta4V3Os
1.0
-4.1131 -0.4385 1.7016
-0.3519 -5.8903 -2.3688
3.4783 -3.2519 7.5697
Ta V Os
8 6 2
direct
0.5000 0.7503 0.0000
0.9999 0.2496 0.7500
0.5000 0.2497 0.0000
0.0001 0.2496 0.2500
0.5000 0.7503 0.5000
0.0001 0.7504 0.2500
0.5000 0.2497 0.5000
0.9999 0.7504 0.7500
0.5000 0.5000 0.2500
0.0000 0.0000 0.0000
0.0000 0.0000 0.5000
0.5002 0.0000 0.2500
0.5000 0.5000 0.7500
0.4998 0.0000 0.7500
0.0000 0.5000 0.5000
0.0000 0.5000 0.0000
```

## Properties
As for the formation energy: -1.4 eV/f.u.

# 5
Compound: AgBiPtO4
Source: the Alexandria database
Functional: PBE-GGA
Structure: relaxed

Structure (POSCAR):
```
AgBiPtO4
1.0
5.8254 0.0000 0.0000
-2.9127 6.5921 0.1157
0.0000 -3.4562 5.6839
O Pt Ag Bi
8 2 2 2
direct
0.3001 0.6001 0.3527
0.3001 0.6001 0.7474
0.6999 0.3999 0.2526
0.7144 0.9451 0.2226
0.2307 0.9451 0.2226
0.7693 0.0549 0.7774
0.2856 0.0549 0.7774
0.6999 0.3999 0.6473
0.0000 0.5000 0.5000
0.5000 0.5000 0.5000
0.8211 0.6422 0.0711
0.1789 0.3578 0.9289
0.5000 0.0000 0.5000
0.5000 0.0000 0.0000
```

## Properties
Its energy relative to the elements, uncorrected is -0.474 eV/atom.

# 6
Compound: Ac3Pm3TlIn2
Source: the Alexandria database
Functional: PBE-GGA
Structure: relaxed

Structure (POSCAR):
```
Ac3Pm3TlIn2
1.0
-1.6246 -1.5457 -3.2462
-6.7159 -4.1857 5.3541
-1.4411 8.7875 -3.4630
Ac Pm In Tl
3 3 2 1
direct
0.5000 0.7148 0.0000
0.5000 0.0000 0.7148
0.5000 0.2852 0.2852
0.0000 0.0000 0.3908
0.0000 0.6092 0.6092
0.0000 0.3908 0.0000
0.5000 0.3333 0.6667
0.5000 0.6667 0.3333
0.0000 0.0000 0.0000
```

## Properties
As for the formation energy: -2.1 eV/f.u.

# 7
Compound: Sm2ZnGa12
Source: the Alexandria database
Functional: PBE-GGA
Structure: relaxed

Structure (POSCAR):
```
Sm2ZnGa12
1.0
-4.9561 3.3111 1.9142
-3.5768 -2.9036 -4.2386
-3.2680 -10.7386 10.1140
Ga Zn Sm
24 2 4
direct
0.3311 0.1689 0.5708
0.0000 0.0000 0.1815
0.5000 0.5000 0.1815
0.2493 0.7493 0.0898
0.0000 0.0000 0.8185
0.1689 0.6689 0.5708
0.5000 0.5000 0.6558
0.7493 0.7507 0.0898
0.5000 0.5000 0.3442
0.0000 0.0000 0.3442
0.7507 0.7493 0.9102
0.7493 0.2493 0.9102
0.2493 0.2507 0.9102
0.3311 0.8311 0.4292
0.8311 0.3311 0.5708
0.6689 0.8311 0.5708
0.2507 0.7507 0.9102
0.5000 0.5000 0.8185
0.6689 0.1689 0.4292
0.7507 0.2507 0.0898
0.0000 0.0000 0.6558
0.2507 0.2493 0.0898
0.8311 0.6689 0.4292
0.1689 0.3311 0.4292
0.0000 0.5000 0.0000
0.5000 0.0000 0.0000
0.5000 0.0000 0.7536
0.0000 0.5000 0.7536
0.0000 0.5000 0.2464
0.5000 0.0000 0.2464
```

## Properties
As for the formation energy: -4.4 eV/f.u.

# 8
Compound: MnHgI3
Source: the Alexandria database
Functional: PBE-GGA
Structure: relaxed

Structure (POSCAR):
```
MnHgI3
1.0
-3.9417 -2.8220 -6.2138
3.5336 -6.9733 -5.5985
-4.0807 -3.1410 5.3197
I Hg Mn
6 2 2
direct
0.1798 0.1183 0.1980
0.8434 0.1138 0.7151
0.8179 0.8592 0.1359
0.5311 0.8393 0.5642
0.4856 0.4059 0.3487
0.2004 0.3882 0.7712
0.5272 0.4513 0.9458
0.5247 0.7451 0.1048
0.6237 0.1229 0.4212
0.3975 0.1215 0.4901
```

## Properties
Its energy relative to the elements, uncorrected is -0.120 eV/atom.

# 9
Compound: YTl3Se
Source: the Alexandria database
Functional: PBE-GGA
Structure: relaxed

Structure (POSCAR):
```
YTl3Se
1.0
5.9242 0.0000 0.0000
0.0000 5.9242 0.0000
0.0000 0.0000 5.9242
Y Se Tl
1 1 3
direct
0.0000 0.0000 0.0000
0.5000 0.5000 0.5000
0.0000 0.5000 0.0000
0.5000 0.0000 0.0000
0.0000 0.0000 0.5000
```

## Properties
Its energy relative to the elements, uncorrected is 0.536 eV/atom.

# 10
Compound: Ba2SCl
Source: the Alexandria database
Functional: PBE-GGA
Structure: relaxed

Structure (POSCAR):
```
Ba2SCl
1.0
0.0000 3.8587 3.8587
3.8587 0.0000 3.8587
3.8587 3.8587 0.0000
Ba S Cl
2 1 1
direct
0.7500 0.7500 0.7500
0.2500 0.2500 0.2500
0.0000 0.0000 0.0000
0.5000 0.5000 0.5000
```

## Properties
Its energy relative to the elements, uncorrected is -1.770 eV/atom.

# 11
Compound: Pa2Ge3Ir4
Source: the Alexandria database
Functional: PBE-GGA
Structure: relaxed

Structure (POSCAR):
```
Pa2Ge3Ir4
1.0
5.7267 0.0000 0.0000
0.0000 7.2197 0.0000
-2.8633 0.0000 7.7152
Ge Ir Pa
6 8 4
direct
0.9845 0.2500 0.4690
0.0155 0.7500 0.5310
0.0000 0.0000 0.0000
0.5155 0.7500 0.5310
0.4845 0.2500 0.4690
0.5000 0.5000 0.0000
0.1812 0.7500 0.8624
0.3312 0.4686 0.6623
0.6688 0.5314 0.3377
0.8312 0.0314 0.6623
0.3188 0.2500 0.1376
0.8188 0.2500 0.1376
0.1688 0.9686 0.3377
0.6812 0.7500 0.8624
0.6029 0.9004 0.2057
0.8971 0.4004 0.7943
0.3971 0.0996 0.7943
0.1029 0.5996 0.2057
```

## Properties
As for the formation energy: -6.1 eV/f.u.

# 12
Compound: K2NdB2S6
Source: the Alexandria database
Functional: PBE-GGA
Structure: relaxed

Structure (POSCAR):
```
K2NdB2S6
1.0
-3.2871 -0.5391 5.7797
4.2628 -4.8561 -1.8783
3.6990 7.0990 2.7659
S Nd B K
6 1 2 2
direct
0.2308 0.4617 0.3552
0.7692 0.5383 0.6448
0.7323 0.9272 0.2182
0.1948 0.9272 0.2182
0.8052 0.0728 0.7818
0.2677 0.0728 0.7818
0.5000 0.0000 0.5000
0.0570 0.1141 0.2712
0.9430 0.8859 0.7288
0.2994 0.5989 0.8125
0.7006 0.4011 0.1875
```

## Properties
Its energy relative to the elements, uncorrected is -0.956 eV/atom.

no.,density of states at the Fermi level (states/eV/cell)
1,0.000
2,22.318
3,4.073
4,22.524
5,2.800
6,7.986
7,6.375
8,0.000
9,4.524
10,2.629
11,10.384
12,5.395